[1]
LaRu2Cl | PBE | relaxed

a b c (Å): 6.652 6.652 6.652
angles (deg): 90.00 90.00 90.00
Fractional positions:
La: 0.000 0.000 0.000
La: 0.000 0.500 0.500
La: 0.500 0.000 0.500
La: 0.500 0.500 0.000
Ru: 0.250 0.250 0.250
Ru: 0.250 0.250 0.750
Ru: 0.250 0.750 0.250
Ru: 0.250 0.750 0.750
Ru: 0.750 0.250 0.250
Ru: 0.750 0.250 0.750
Ru: 0.750 0.750 0.250
Ru: 0.750 0.750 0.750
Cl: 0.000 0.000 0.500
Cl: 0.000 0.500 0.000
Cl: 0.500 0.000 0.000
Cl: 0.500 0.500 0.500

Computed properties:
Calculated density in kg/m3: 8494
Total magnetic moment in μB per formula unit: 0.0
Excess energy over the best structure of this formula in the dataset in eV per atom: 0.8045

---

[2]
La4RuCl5 | PBE | relaxed

a b c (Å): 9.405 9.405 8.883
angles (deg): 107.41 107.41 26.15
Fractional positions:
La: 0.003 0.003 0.235
La: 0.349 0.349 0.906
La: 0.651 0.651 0.094
La: 0.997 0.997 0.765
Ru: 0.500 0.500 0.000
Cl: 0.169 0.169 0.869
Cl: 0.170 0.170 0.331
Cl: 0.500 0.500 0.500
Cl: 0.830 0.830 0.669
Cl: 0.831 0.831 0.131

Computed properties:
Calculated density in kg/m3: 4202
Total energy in eV/cell: -55.44
Total magnetic moment in μB per formula unit: 0.1

---

[3]
LaRuCl2 | PBE | relaxed

a b c (Å): 6.942 6.942 6.942
angles (deg): 90.00 90.00 90.00
Fractional positions:
La: 0.000 0.000 0.000
La: 0.000 0.500 0.500
La: 0.500 0.000 0.500
La: 0.500 0.500 0.000
Ru: 0.250 0.250 0.250
Ru: 0.250 0.750 0.750
Ru: 0.750 0.250 0.750
Ru: 0.750 0.750 0.250
Cl: 0.000 0.000 0.500
Cl: 0.000 0.500 0.000
Cl: 0.250 0.250 0.750
Cl: 0.250 0.750 0.250
Cl: 0.500 0.000 0.000
Cl: 0.500 0.500 0.500
Cl: 0.750 0.250 0.250
Cl: 0.750 0.750 0.750

Computed properties:
Calculated density in kg/m3: 6173
Total magnetic moment in μB per formula unit: 1.0
Excess energy over the best structure of this formula in the dataset in eV per atom: 0.5860

---

[4]
LaRuCl2 | PBE | relaxed

a b c (Å): 6.889 6.889 6.889
angles (deg): 90.00 90.00 90.00
Fractional positions:
La: 0.000 0.000 0.000
La: 0.000 0.500 0.500
La: 0.500 0.000 0.500
La: 0.500 0.500 0.000
Ru: 0.000 0.000 0.500
Ru: 0.000 0.500 0.000
Ru: 0.500 0.000 0.000
Ru: 0.500 0.500 0.500
Cl: 0.250 0.250 0.250
Cl: 0.250 0.250 0.750
Cl: 0.250 0.750 0.250
Cl: 0.250 0.750 0.750
Cl: 0.750 0.250 0.250
Cl: 0.750 0.250 0.750
Cl: 0.750 0.750 0.250
Cl: 0.750 0.750 0.750

Computed properties:
Calculated density in kg/m3: 6315
Total magnetic moment in μB per formula unit: 1.3
Excess energy over the best structure of this formula in the dataset in eV per atom: 0.4777

---

> total magnetic moment of number 4 (LaRuCl2)?

1.3 μB per formula unit

---

> What is the formula in the fourth record?

LaRuCl2

---

> Which formula does entry 2 have?

La4RuCl5